Entry 1:
DFT (PBE-GGA) results for a relaxed Cd3HPt crystal.

Lattice parameters (Å, degrees): 4.3155 4.3155 4.3155 90.00 90.00 90.00
Element x y z (fractional)
Pt: 0.5000 0.5000 0.5000
Cd: 0.0000 0.0000 0.5000
Cd: 0.5000 0.0000 0.0000
Cd: 0.0000 0.5000 0.0000
H: 0.0000 0.0000 0.0000

E = -2.325 eV/atom



Entry 2:
DFT (PBE-GGA) results for a relaxed CdHPt3 crystal.

Lattice parameters (Å, degrees): 2.7248 7.2865 7.2865 136.81 90.00 90.00
Element x y z (fractional)
Pt: 0.0000 0.2666 0.7334
Pt: 0.5000 0.1542 0.3320
Pt: 0.5000 0.6680 0.8458
H: 0.0000 0.4480 0.5520
Cd: 0.5000 0.0913 0.9087

polymorph energy (0 for the lowest one) = 0.359 eV per atom



Entry 3:
DFT (PBE-GGA) results for a relaxed CdH3Pt crystal.

Lattice parameters (Å, degrees): 3.6805 3.6805 3.6805 90.00 90.00 90.00
Element x y z (fractional)
H: 0.0000 0.5000 0.0000
H: 0.5000 0.0000 0.0000
H: 0.0000 0.0000 0.5000
Pt: 0.0000 0.0000 0.0000
Cd: 0.5000 0.5000 0.5000

polymorph energy (0 for the lowest one) = 0.124 eV per atom



Entry 4:
DFT (PBE-GGA) results for a relaxed CdHPt3 crystal.

Lattice parameters (Å, degrees): 2.9751 2.9751 18.6393 90.00 90.00 120.00
Element x y z (fractional)
Pt: 0.0000 0.0000 0.7500
Pt: 0.0000 0.0000 0.2500
Pt: 0.6667 0.3333 0.3791
Pt: 0.6667 0.3333 0.1209
Pt: 0.3333 0.6667 0.6209
Pt: 0.3333 0.6667 0.8791
H: 0.3333 0.6667 0.7500
H: 0.6667 0.3333 0.2500
Cd: 0.0000 0.0000 0.0000
Cd: 0.0000 0.0000 0.5000

polymorph energy (0 for the lowest one) = 0.180 eV per atom